Record 1
A plane-wave DFT calculation with GGA-PBEsol was carried out for an optimized crystal structure of AlCu.

Output
The formation energy is -0.16 eV/atom.

abc: 4.8375 4.8375 6.2542
angles: 104.57 104.57 33.75
Fractional positions:
Al: 0.0000 0.0000 0.0000
Al: 0.0528 0.0528 0.6026
Al: 0.3538 0.3538 0.2581
Cu: 0.3306 0.3306 0.6588
Cu: 0.6446 0.6446 0.3276
Cu: 0.7163 0.7163 0.9289

***

Record 2
A plane-wave DFT calculation with GGA-PBEsol was carried out for an optimized crystal structure of PbWI3.

Output
As for the energy relative to the elements, uncorrected: 1.3496 eV/atom.

abc: 6.0461 6.0461 6.0461
angles: 90.00 90.00 90.00
Fractional positions:
Pb: 0.0000 0.0000 0.0000
W: 0.5000 0.5000 0.5000
I: 0.0000 0.0000 0.5000
I: 0.0000 0.5000 0.0000
I: 0.5000 0.0000 0.0000

***

no.,volume (Å³/cell),M_tot (μB/cell)
1,78.45,0.00
2,221.01,5.11